1.
First-principles (PBE) data for a relaxed Na3HgAu8 crystal, as listed in the Open Quantum Materials Database.

Cell lengths 9.743, 9.743, 9.743 Å; angles 33.43, 33.43, 33.43 degrees
Atoms (fractional coordinates):
Na 0.000 0.000 0.000
Na 0.127 0.127 0.127
Na 0.504 0.504 0.504
Hg 0.628 0.628 0.628
Au 0.064 0.064 0.562
Au 0.064 0.562 0.064
Au 0.066 0.565 0.565
Au 0.315 0.315 0.315
Au 0.562 0.064 0.064
Au 0.565 0.066 0.565
Au 0.565 0.565 0.066
Au 0.814 0.814 0.814

space group = R3m (160)
E_tot = -2.820 eV/atom

=====

2.
First-principles (PBE) data for a relaxed Nb2HgAu crystal, as listed in the Open Quantum Materials Database.

Cell lengths 4.734, 4.734, 4.734 Å; angles 60.00, 60.00, 60.00 degrees
Atoms (fractional coordinates):
Nb 0.000 0.000 0.000
Nb 0.250 0.250 0.250
Hg 0.750 0.750 0.750
Au 0.500 0.500 0.500

energy of formation from the pure elements = 152 kJ/mol of formula units
spin magnetization = 0.02 μB/f.u.
space group = F-43m (216)

=====

3.
First-principles (PBE) data for a relaxed NbHg2Au crystal, as listed in the Open Quantum Materials Database.

Cell lengths 4.797, 4.797, 4.797 Å; angles 60.00, 60.00, 60.00 degrees
Atoms (fractional coordinates):
Nb 0.000 0.000 0.000
Hg 0.500 0.500 0.500
Hg 0.750 0.750 0.750
Au 0.250 0.250 0.250

energy of formation from the pure elements = 143 kJ/mol of formula units
spin magnetization = 0.80 μB/f.u.
space group = F-43m (216)